# 1
Li7Mn8B8O24, optimized geometry, DFT GGA+U; space-group type = P1, No. 1; N(E_F) = 0.01 states/eV per atom; DFT total energy = -7.355 eV/atom
1.0
5.280 0.000 0.000
0.082 9.094 0.000
0.318 0.069 10.434
Li Mn B O
7 8 8 24
direct
0.000 0.000 0.000
0.002 0.968 0.492
0.183 0.493 0.250
0.187 0.487 0.747
0.497 0.464 0.504
0.506 0.499 0.987
0.681 0.984 0.252
0.167 0.829 0.778
0.182 0.152 0.282
0.504 0.130 0.537
0.504 0.819 0.024
0.675 0.646 0.281
0.690 0.296 0.783
0.995 0.648 0.534
0.997 0.334 0.036
0.011 0.657 0.040
0.015 0.306 0.546
0.168 0.169 0.793
0.175 0.814 0.285
0.504 0.806 0.531
0.507 0.153 0.033
0.672 0.312 0.292
0.672 0.645 0.787
0.034 0.942 0.298
0.043 0.043 0.815
0.052 0.307 0.823
0.065 0.679 0.319
0.102 0.793 0.001
0.116 0.177 0.495
0.150 0.433 0.554
0.173 0.537 0.054
0.246 0.823 0.567
0.252 0.158 0.070
0.411 0.174 0.739
0.428 0.819 0.241
0.521 0.435 0.308
0.545 0.511 0.795
0.545 0.772 0.824
0.575 0.174 0.325
0.600 0.667 0.498
0.617 0.281 0.975
0.655 0.032 0.055
0.659 0.925 0.526
0.751 0.637 0.068
0.757 0.304 0.592
0.922 0.326 0.244
0.927 0.647 0.745


# 2
Li3Mn4B4O12, optimized geometry, DFT GGA+U; space-group type = P-1, No. 2; N(E_F) = 0.21 states/eV per atom; DFT total energy = -7.395 eV/atom
1.0
6.163 0.000 0.000
1.127 9.307 0.000
1.643 3.759 8.767
Li Mn B O
6 8 8 24
direct
0.024 0.347 0.283
0.458 0.128 0.721
0.467 0.631 0.218
0.533 0.369 0.782
0.542 0.872 0.279
0.976 0.653 0.717
0.236 0.957 0.058
0.242 0.452 0.551
0.254 0.043 0.453
0.254 0.560 0.946
0.746 0.440 0.054
0.746 0.957 0.547
0.758 0.548 0.449
0.764 0.043 0.942
0.089 0.289 0.879
0.102 0.781 0.395
0.412 0.215 0.115
0.424 0.715 0.614
0.576 0.285 0.386
0.588 0.785 0.885
0.898 0.219 0.605
0.911 0.711 0.121
0.005 0.149 0.986
0.009 0.432 0.886
0.014 0.645 0.507
0.033 0.920 0.414
0.258 0.282 0.768
0.258 0.778 0.276
0.262 0.725 0.724
0.275 0.220 0.239
0.481 0.354 0.993
0.484 0.072 0.100
0.494 0.145 0.508
0.500 0.428 0.393
0.500 0.572 0.607
0.506 0.855 0.492
0.516 0.928 0.900
0.519 0.646 0.007
0.725 0.780 0.761
0.738 0.275 0.276
0.742 0.222 0.724
0.742 0.718 0.232
0.967 0.080 0.586
0.986 0.355 0.493
0.991 0.568 0.114
0.995 0.851 0.014


# 3
Li3Mn4B4O12, optimized geometry, DFT GGA+U; space-group type = P1, No. 1; DFT total energy = -7.402 eV/atom
1.0
5.263 0.000 0.000
2.593 5.595 0.000
0.191 2.990 8.528
Li Mn B O
3 4 4 12
direct
0.000 0.000 0.000
0.147 0.340 0.284
0.638 0.372 0.767
0.008 0.936 0.670
0.130 0.434 0.590
0.518 0.919 0.198
0.617 0.440 0.087
0.020 0.921 0.349
0.120 0.425 0.923
0.495 0.970 0.852
0.622 0.430 0.423
0.226 0.517 0.783
0.240 0.978 0.361
0.269 0.364 0.067
0.304 0.071 0.715
0.370 0.411 0.417
0.411 0.856 0.990
0.730 0.506 0.285
0.743 0.993 0.850
0.779 0.362 0.566
0.861 0.998 0.205
0.882 0.389 0.912
0.936 0.799 0.489


# 4
Li2Mn3B3O9, optimized geometry, DFT GGA+U; space-group type = P3_2, No. 145; N(E_F) = 0.04 states/eV per atom; DFT total energy = -7.411 eV/atom
1.0
8.249 0.000 0.000
-4.125 7.144 0.000
0.000 0.000 9.474
Li Mn B O
6 9 9 27
direct
0.010 0.713 0.000
0.026 0.733 0.668
0.267 0.293 0.335
0.287 0.297 0.667
0.703 0.990 0.333
0.707 0.974 0.002
0.345 0.004 0.164
0.370 0.005 0.498
0.396 0.016 0.832
0.621 0.604 0.166
0.635 0.630 0.832
0.659 0.655 0.497
0.984 0.379 0.499
0.995 0.365 0.165
0.996 0.341 0.830
0.005 0.024 0.507
0.019 0.995 0.840
0.327 0.666 0.668
0.334 0.661 0.335
0.339 0.673 0.002
0.658 0.337 0.329
0.663 0.321 0.996
0.679 0.342 0.663
0.976 0.981 0.173
0.066 0.880 0.154
0.076 0.173 0.194
0.097 0.924 0.527
0.109 0.888 0.839
0.112 0.221 0.506
0.120 0.185 0.820
0.133 0.556 0.658
0.141 0.542 0.348
0.148 0.561 0.998
0.401 0.859 0.681
0.413 0.852 0.331
0.423 0.867 0.991
0.439 0.587 0.665
0.444 0.577 0.325
0.458 0.599 0.015
0.466 0.216 0.327
0.471 0.204 0.981
0.487 0.220 0.680
0.733 0.513 0.013
0.733 0.529 0.314
0.750 0.534 0.660
0.779 0.891 0.172
0.780 0.267 0.346
0.784 0.250 0.994
0.796 0.267 0.648
0.815 0.934 0.487
0.827 0.903 0.860


Question: What is the DFT total energy in the third record?
Answer: -7.402 eV/atom


Question: Look up the DFT total energy of the third one.
Answer: -7.402 eV/atom